First-principles (PBE-GGA) data for a relaxed structure of CuTe2P, as listed in the Alexandria database.

Output
The calculation puts the energy at -3.66 eV/atom. The calculation puts the mass density at 6.29 Mg/m³. The calculation puts the uncorrected formation energy at 6.65 kcal/mol of atoms. The total moment comes out at 0.00 μB/cell.

The structure in POSCAR format:
```
CuTe2P
1.0
3.0436 0.0000 0.0000
0.0000 3.9254 0.0000
-0.7160 0.0000 7.7334
Cu Te P
1 2 1
Direct
0.0000 0.0000 0.0000
0.0541 0.5000 0.7653
0.9459 0.5000 0.2347
0.0000 0.0000 0.5000
```